# 1
## Ca3CdPd2 (PBE)

Data for Ca3CdPd2 after structural relaxation.

## Properties
The distance to the lowest polymorph of the same formula comes out at 25 meV per atom. As for the raw total energy: -41.2 eV per cell.

```
data_Ca3CdPd2
_chemical_formula_sum 'Ca6 Cd2 Pd4'
_cell_length_a 5.138
_cell_length_b 15.102
_cell_length_c 3.711
_cell_angle_alpha 90.00
_cell_angle_beta 90.00
_cell_angle_gamma 90.00
_symmetry_space_group_name_H-M 'C m m m'
_symmetry_Int_Tables_number 65
_symmetry_space_group_name_Hall '-C 2 2'
loop_
_atom_site_label
_atom_site_type_symbol
_atom_site_fract_x
_atom_site_fract_y
_atom_site_fract_z
_atom_site_occupancy
Ca1 Ca 0.000 0.000 0.000 1
Ca2 Ca 0.000 0.323 0.000 1
Cd1 Cd 0.000 0.500 0.500 1
Pd1 Pd 0.000 0.161 0.500 1
```



# 2
## Tb8Nd4Y (PBE)

Data for Tb8Nd4Y after structural relaxation.

## Properties
As for the raw total energy: -168.0 eV per cell.

```
data_Tb8Nd4Y
_chemical_formula_sum 'Tb24 Nd12 Y3'
_cell_length_a 11.0980
_cell_length_b 11.0980
_cell_length_c 13.5542
_cell_angle_alpha 90.00
_cell_angle_beta 90.00
_cell_angle_gamma 120.00
_symmetry_space_group_name_H-M 'R -3 m'
_symmetry_Int_Tables_number 166
_symmetry_space_group_name_Hall '-R 3 2"'
loop_
_atom_site_label
_atom_site_type_symbol
_atom_site_fract_x
_atom_site_fract_y
_atom_site_fract_z
_atom_site_occupancy
Tb1 Tb 0.0000 0.0000 0.2395 1
Tb2 Tb 0.0136 0.5068 0.7463 1
Nd1 Nd 0.0000 0.0000 0.0000 1
Nd2 Nd 0.0000 0.5000 0.0000 1
Y1 Y 0.0000 0.0000 0.5000 1
```



# 3
## Ce3Sn3Pb2 (PBE)

Data for Ce3Sn3Pb2 after structural relaxation.

## Properties
As for the raw total energy: -80.2 eV per cell.

```
data_Ce3Sn3Pb2
_chemical_formula_sum 'Ce6 Sn6 Pb4'
_cell_length_a 9.2686
_cell_length_b 9.2686
_cell_length_c 6.3667
_cell_angle_alpha 90.00
_cell_angle_beta 90.00
_cell_angle_gamma 120.00
_symmetry_space_group_name_H-M 'P 63/m c m'
_symmetry_Int_Tables_number 193
_symmetry_space_group_name_Hall '-P 6c 2'
loop_
_atom_site_label
_atom_site_type_symbol
_atom_site_fract_x
_atom_site_fract_y
_atom_site_fract_z
_atom_site_occupancy
Ce1 Ce 0.0000 0.3928 0.2500 1
Sn1 Sn 0.0000 0.1996 0.7500 1
Pb1 Pb 0.3333 0.6667 0.0000 1
```



# 4
## La2BiAs3 (PBE)

Data for La2BiAs3 after structural relaxation.

## Properties
As for the raw total energy: -67.6 eV per cell.

```
data_La2BiAs3
_chemical_formula_sum 'La4 Bi2 As6'
_cell_length_a 4.330
_cell_length_b 18.527
_cell_length_c 4.401
_cell_angle_alpha 90.00
_cell_angle_beta 90.00
_cell_angle_gamma 90.00
_symmetry_space_group_name_H-M 'I m m 2'
_symmetry_Int_Tables_number 44
loop_
_symmetry_equiv_pos_as_xyz
'x,y,z'
'-x,-y,z'
'-x,y,z'
'x,-y,z'
'x+1/2,y+1/2,z+1/2'
'-x+1/2,-y+1/2,z+1/2'
'-x+1/2,y+1/2,z+1/2'
'x+1/2,-y+1/2,z+1/2'
loop_
_atom_site_label
_atom_site_type_symbol
_atom_site_fract_x
_atom_site_fract_y
_atom_site_fract_z
_atom_site_occupancy
La1 La 0.000 0.166 0.000 1
Bi1 Bi 0.000 0.500 0.076 1
As1 As 0.000 0.000 0.002 1
As2 As 0.000 0.332 0.007 1
```



# 5
## Ce2Pu2Sc (PBE)

Data for Ce2Pu2Sc after structural relaxation.

## Properties
As for the raw total energy: -184.7 eV per cell.

```
data_Ce2Pu2Sc
_chemical_formula_sum 'Ce8 Pu8 Sc4'
_cell_length_a 8.383
_cell_length_b 7.642
_cell_length_c 8.195
_cell_angle_alpha 90.00
_cell_angle_beta 100.69
_cell_angle_gamma 90.00
_symmetry_space_group_name_H-M 'C 1 2/c 1'
_symmetry_Int_Tables_number 15
loop_
_symmetry_equiv_pos_as_xyz
'x,y,z'
'-x,-y,-z'
'-x,y,-z+1/2'
'x,-y,z+1/2'
'x+1/2,y+1/2,z'
'-x+1/2,-y+1/2,-z'
'-x+1/2,y+1/2,-z+1/2'
'x+1/2,-y+1/2,z+1/2'
loop_
_atom_site_label
_atom_site_type_symbol
_atom_site_fract_x
_atom_site_fract_y
_atom_site_fract_z
_atom_site_occupancy
Ce1 Ce 0.214 0.026 0.001 1
Pu1 Pu 0.103 0.288 0.628 1
Sc1 Sc 0.000 0.275 0.250 1
```



# 6
## Li5Ag4Au (PBE)

Data for Li5Ag4Au after structural relaxation.

## Properties
As for the raw total energy: -27.1 eV per cell.

```
data_Li5Ag4Au
_chemical_formula_sum 'Li5 Ag4 Au1'
_cell_length_a 3.180
_cell_length_b 3.180
_cell_length_c 15.655
_cell_angle_alpha 90.00
_cell_angle_beta 90.00
_cell_angle_gamma 90.00
_symmetry_space_group_name_H-M 'P 4/m m m'
_symmetry_Int_Tables_number 123
_symmetry_space_group_name_Hall '-P 4 2'
loop_
_atom_site_label
_atom_site_type_symbol
_atom_site_fract_x
_atom_site_fract_y
_atom_site_fract_z
_atom_site_occupancy
Li1 Li 0.000 0.000 0.000 1
Li2 Li 0.000 0.000 0.202 1
Li3 Li 0.000 0.000 0.405 1
Ag1 Ag 0.500 0.500 0.101 1
Ag2 Ag 0.500 0.500 0.302 1
Au1 Au 0.500 0.500 0.500 1
```



# 7
## PmNd6Th (PBE)

Data for PmNd6Th after structural relaxation.

## Properties
The distance to the lowest polymorph of the same formula comes out at 0 meV per atom. As for the raw total energy: -40.5 eV per cell.

```
data_PmNd6Th
_chemical_formula_sum 'Pm1 Nd6 Th1'
_cell_length_a 5.176
_cell_length_b 5.176
_cell_length_c 10.359
_cell_angle_alpha 90.00
_cell_angle_beta 90.00
_cell_angle_gamma 90.00
_symmetry_space_group_name_H-M 'P 4/m m m'
_symmetry_Int_Tables_number 123
_symmetry_space_group_name_Hall '-P 4 2'
loop_
_atom_site_label
_atom_site_type_symbol
_atom_site_fract_x
_atom_site_fract_y
_atom_site_fract_z
_atom_site_occupancy
Pm1 Pm 0.000 0.000 0.000 1
Nd1 Nd 0.000 0.500 0.254 1
Nd2 Nd 0.500 0.500 0.000 1
Nd3 Nd 0.500 0.500 0.500 1
Th1 Th 0.000 0.000 0.500 1
```



# 8
## Nd3Dy8Mg (PBE)

Data for Nd3Dy8Mg after structural relaxation.

## Properties
As for the raw total energy: -91.5 eV per cell.

```
data_Nd3Dy8Mg
_chemical_formula_sum 'Nd6 Dy16 Mg2'
_cell_length_a 8.673
_cell_length_b 8.673
_cell_length_c 11.242
_cell_angle_alpha 90.00
_cell_angle_beta 90.00
_cell_angle_gamma 90.00
_symmetry_space_group_name_H-M 'I -4 2 m'
_symmetry_Int_Tables_number 121
_symmetry_space_group_name_Hall 'I -4 2'
loop_
_atom_site_label
_atom_site_type_symbol
_atom_site_fract_x
_atom_site_fract_y
_atom_site_fract_z
_atom_site_occupancy
Nd1 Nd 0.000 0.000 0.000 1
Nd2 Nd 0.000 0.500 0.250 1
Dy1 Dy 0.126 0.126 0.253 1
Dy2 Dy 0.243 0.243 0.505 1
Mg1 Mg 0.000 0.000 0.500 1
```



Number 1: magnetic moment 0.0 Bohr magnetons per cell, E_form -0.55 eV per atom, N(E_F) 2.68 states/eV/f.u.. Number 2: magnetic moment 4.2 Bohr magnetons per cell, E_form 0.51 eV per atom, N(E_F) 19.97 states/eV/f.u.. Number 3: magnetic moment 4.4 Bohr magnetons per cell, E_form -0.36 eV per atom, N(E_F) 17.24 states/eV/f.u.. Number 4: magnetic moment 0.0 Bohr magnetons per cell, E_form -1.02 eV per atom, N(E_F) 0.24 states/eV/f.u.. Number 5: magnetic moment 46.6 Bohr magnetons per cell, E_form 0.14 eV per atom, N(E_F) 11.97 states/eV/f.u.. Number 6: magnetic moment 0.0 Bohr magnetons per cell, E_form -0.29 eV per atom, N(E_F) 2.17 states/eV/f.u.. Number 7: magnetic moment 0.0 Bohr magnetons per cell, E_form 0.03 eV per atom, N(E_F) 11.29 states/eV/f.u.. Number 8: magnetic moment 0.0 Bohr magnetons per cell, E_form 0.58 eV per atom, N(E_F) 18.21 states/eV/f.u..